Record 1
GeH2Br2 | PBE | relaxed

The structure belongs to space group C2/m (No. 12); the cell edges are 7.877, 4.373 and 7.389 Å and the angles 90.00°, 100.72° and 90.00°. Symmetry generates all atoms from Ge at (0.000, 0.000, 0.000), H at (0.043, 0.500, 0.039) and Br at (0.206, 0.000, 0.750).

For the energy above the most stable polymorph in this dataset, the calculation gives 0.000 eV per formula unit. The total energy comes out at -2.98 eV/atom.



Record 2
GeH3Br | PBE | relaxed

The structure belongs to space group Pm-3m (No. 221); the cell edges are 3.798, 3.798 and 3.798 Å and the angles 90.00°, 90.00° and 90.00°. Symmetry generates all atoms from Ge at (0.000, 0.000, 0.000), H at (0.000, 0.000, 0.500) and Br at (0.500, 0.500, 0.500).

The total energy comes out at -2.77 eV/atom.



Record 3
GeHBr2 | PBE | relaxed

The structure belongs to space group Fm-3m (No. 225); the cell edges are 7.010, 7.010 and 7.010 Å and the angles 90.00°, 90.00° and 90.00°. Symmetry generates all atoms from Ge at (0.000, 0.000, 0.000), H at (0.000, 0.000, 0.500) and Br at (0.250, 0.250, 0.250).

For the energy above the most stable polymorph in this dataset, the calculation gives 1.023 eV per formula unit. The total energy comes out at -2.53 eV/atom.



Record 4
Ge2H2Br3 | PBE | relaxed

The structure belongs to space group P-1 (No. 2); the cell edges are 3.677, 3.894 and 11.498 Å and the angles 99.72°, 98.73° and 90.10°. Symmetry generates all atoms from Ge at (0.090, 0.096, 0.194), H at (0.415, 0.908, 0.815), Br at (0.000, 0.500, 0.000) and Br at (0.166, 0.676, 0.353).

The total energy comes out at -3.19 eV/atom.



Please write out number 3 again, unchanged.
GeHBr2 | PBE | relaxed

The structure belongs to space group Fm-3m (No. 225); the cell edges are 7.010, 7.010 and 7.010 Å and the angles 90.00°, 90.00° and 90.00°. Symmetry generates all atoms from Ge at (0.000, 0.000, 0.000), H at (0.000, 0.000, 0.500) and Br at (0.250, 0.250, 0.250).

For the energy above the most stable polymorph in this dataset, the calculation gives 1.023 eV per formula unit. The total energy comes out at -2.53 eV/atom.